Record 1
Computed, not measured: a relaxed structure of YWCl4 at the GGA-PBE level of DFT.

```
data_YWCl4
_symmetry_space_group_name_H-M 'P 1'
_symmetry_Int_Tables_number 1
_cell_length_a 5.835
_cell_length_b 5.835
_cell_length_c 5.835
_cell_angle_alpha 60.00
_cell_angle_beta 60.00
_cell_angle_gamma 60.00
loop_
_symmetry_equiv_pos_as_xyz
'x,y,z'
loop_
_atom_site_label
_atom_site_type_symbol
_atom_site_fract_x
_atom_site_fract_y
_atom_site_fract_z
_atom_site_occupancy
Cl1 Cl 0.375 0.375 0.375 1
Cl2 Cl 0.375 0.375 0.876 1
Cl3 Cl 0.375 0.876 0.375 1
Cl4 Cl 0.876 0.375 0.375 1
Y1 Y 0.000 0.000 0.000 1
W1 W 0.750 0.750 0.750 1
```

Values from the calculation:
Symmetry   F-43m, No. 216

=====

Record 2
Computed, not measured: a relaxed structure of YW2Cl at the GGA-PBE level of DFT.

```
data_YW2Cl
_symmetry_space_group_name_H-M 'P 1'
_symmetry_Int_Tables_number 1
_cell_length_a 3.082
_cell_length_b 3.082
_cell_length_c 9.554
_cell_angle_alpha 90.00
_cell_angle_beta 90.00
_cell_angle_gamma 113.65
loop_
_symmetry_equiv_pos_as_xyz
'x,y,z'
loop_
_atom_site_label
_atom_site_type_symbol
_atom_site_fract_x
_atom_site_fract_y
_atom_site_fract_z
_atom_site_occupancy
Y1 Y 0.000 0.000 0.500 1
W1 W 0.500 0.500 0.240 1
W2 W 0.000 0.000 0.044 1
Cl1 Cl 0.500 0.500 0.716 1
```

Values from the calculation:
Symmetry   Cmm2, No. 35
Energy relative to the lowest polymorph listed for this composition   0.2017 eV per atom

=====

Record 3
Computed, not measured: a relaxed structure of YWCl at the GGA-PBE level of DFT.

```
data_YWCl
_symmetry_space_group_name_H-M 'P 1'
_symmetry_Int_Tables_number 1
_cell_length_a 8.515
_cell_length_b 8.518
_cell_length_c 3.040
_cell_angle_alpha 79.68
_cell_angle_beta 79.76
_cell_angle_gamma 20.56
loop_
_symmetry_equiv_pos_as_xyz
'x,y,z'
loop_
_atom_site_label
_atom_site_type_symbol
_atom_site_fract_x
_atom_site_fract_y
_atom_site_fract_z
_atom_site_occupancy
Cl1 Cl 0.047 0.047 0.953 1
Y1 Y 0.658 0.658 0.342 1
W1 W 0.294 0.294 0.706 1
```

Values from the calculation:
Symmetry   Fmm2, No. 42
Energy relative to the lowest polymorph listed for this composition   0.0000 eV per atom

=====

Record order is preserved below.
Energy relative to the elements, uncorrected: 61.3 13.7 15.9 kJ/mol of atoms
Record order is preserved below.
E: -3.83 -8.41 -6.92 eV/atom